First-principles (PBE) data for an optimized crystal structure of GeBiC3, as listed in the Alexandria database.

Lattice parameters (Å, degrees): 4.5104 4.5104 4.5104 90.00 90.00 90.00
Element x y z (fractional)
1 Ge 0.0000 0.0000 0.0000
2 Bi 0.5000 0.5000 0.5000
3 C 0.0000 0.5000 0.5000
4 C 0.5000 0.0000 0.5000
5 C 0.5000 0.5000 0.0000

Summary:
E_form: 3.287 eV per atom
E above lowest polymorph: 896 meV per atom
N(E_F): 4.0 states/eV/cell
V: 91.8 Å³ per cell